## i
# Pu3Ir2Pd, relaxed, DFT PBE-GGA
data_Pu3Ir2Pd
_cell_length_a 15.2057
_cell_length_b 5.8489
_cell_length_c 5.6354
_cell_angle_alpha 90.00
_cell_angle_beta 103.94
_cell_angle_gamma 90.00
_space_group_name_H-M_alt 'C 1 2/c 1'
_space_group_IT_number 15
loop_
_space_group_symop_operation_xyz
'x,y,z'
'-x,-y,-z'
'-x,y,-z+1/2'
'x,-y,z+1/2'
'x+1/2,y+1/2,z'
'-x+1/2,-y+1/2,-z'
'-x+1/2,y+1/2,-z+1/2'
'x+1/2,-y+1/2,z+1/2'
loop_
_atom_site_label
_atom_site_type_symbol
_atom_site_fract_x
_atom_site_fract_y
_atom_site_fract_z
Pu1 Pu 0.0000 0.1417 0.2500
Pu2 Pu 0.1767 0.3771 0.6079
Ir1 Ir 0.1565 0.1179 0.0415
Pd1 Pd 0.0000 0.3695 0.7500
# Fermi-level density of states = 19.91 states/eV/f.u.
# Magnetic moment = 15.30 μB per formula unit

## ii
# Pu3Ir2Pd, relaxed, DFT PBE-GGA
data_Pu3Ir2Pd
_cell_length_a 3.4302
_cell_length_b 3.4302
_cell_length_c 10.5506
_cell_angle_alpha 90.00
_cell_angle_beta 90.00
_cell_angle_gamma 90.00
_space_group_name_H-M_alt 'P 4/m m m'
_space_group_IT_number 123
_space_group_name_Hall '-P 4 2'
loop_
_atom_site_label
_atom_site_type_symbol
_atom_site_fract_x
_atom_site_fract_y
_atom_site_fract_z
Pu1 Pu 0.0000 0.0000 0.0000
Pu2 Pu 0.0000 0.0000 0.3213
Ir1 Ir 0.5000 0.5000 0.1650
Pd1 Pd 0.5000 0.5000 0.5000
# Fermi-level density of states = 22.00 states/eV/f.u.
# Magnetic moment = 15.02 μB per formula unit

List of relative energies, unit meV per atom: i 39; ii 0

## i
# Pu4IrPd, relaxed, DFT PBE-GGA
data_Pu4IrPd
_cell_length_a 4.7050
_cell_length_b 5.1962
_cell_length_c 5.3380
_cell_angle_alpha 80.95
_cell_angle_beta 70.23
_cell_angle_gamma 78.00
_space_group_name_H-M_alt 'P 1'
_space_group_IT_number 1
loop_
_space_group_symop_operation_xyz
'x,y,z'
loop_
_atom_site_label
_atom_site_type_symbol
_atom_site_fract_x
_atom_site_fract_y
_atom_site_fract_z
Pu1 Pu 0.0000 0.0000 0.0000
Pu2 Pu 0.0660 0.5524 0.5852
Pu3 Pu 0.3196 0.0296 0.3114
Pu4 Pu 0.3933 0.5770 0.8769
Ir1 Ir 0.6546 0.0835 0.6538
Pd1 Pd 0.7382 0.4873 0.2415
# Fermi-level density of states = 22.82 states/eV/f.u.
# Magnetic moment = 0.13 μB per formula unit

## ii
# Pu4IrPd, relaxed, DFT PBE-GGA
data_Pu4IrPd
_cell_length_a 7.0785
_cell_length_b 7.0785
_cell_length_c 5.7679
_cell_angle_alpha 90.00
_cell_angle_beta 90.00
_cell_angle_gamma 90.00
_space_group_name_H-M_alt 'P 4/m c c'
_space_group_IT_number 124
_space_group_name_Hall '-P 4 2c'
loop_
_atom_site_label
_atom_site_type_symbol
_atom_site_fract_x
_atom_site_fract_y
_atom_site_fract_z
Pu1 Pu 0.1583 0.3290 0.0000
Ir1 Ir 0.0000 0.0000 0.2500
Pd1 Pd 0.5000 0.5000 0.2500
# Fermi-level density of states = 28.19 states/eV/f.u.
# Magnetic moment = 23.71 μB per formula unit

List of relative energies, unit meV per atom: i 0; ii 11

## i
# SmPuIrPd, relaxed, DFT PBE-GGA
data_SmPuIrPd
_cell_length_a 3.4898
_cell_length_b 3.4898
_cell_length_c 7.1240
_cell_angle_alpha 90.00
_cell_angle_beta 90.00
_cell_angle_gamma 90.00
_space_group_name_H-M_alt 'P 4 m m'
_space_group_IT_number 99
loop_
_space_group_symop_operation_xyz
'x,y,z'
'-y,x,z'
'-x,-y,z'
'y,-x,z'
'-x,y,z'
'y,x,z'
'x,-y,z'
'-y,-x,z'
loop_
_atom_site_label
_atom_site_type_symbol
_atom_site_fract_x
_atom_site_fract_y
_atom_site_fract_z
Sm1 Sm 0.0000 0.0000 0.0000
Pu1 Pu 0.0000 0.0000 0.5233
Ir1 Ir 0.5000 0.5000 0.7461
Pd1 Pd 0.5000 0.5000 0.2592
# Fermi-level density of states = 10.95 states/eV/f.u.
# Magnetic moment = 5.21 μB per formula unit

## ii
# SmPuIrPd, relaxed, DFT PBE-GGA
data_SmPuIrPd
_cell_length_a 7.0077
_cell_length_b 7.0077
_cell_length_c 7.0077
_cell_angle_alpha 90.00
_cell_angle_beta 90.00
_cell_angle_gamma 90.00
_space_group_name_H-M_alt 'F -4 3 m'
_space_group_IT_number 216
_space_group_name_Hall 'F -4 2 3'
loop_
_atom_site_label
_atom_site_type_symbol
_atom_site_fract_x
_atom_site_fract_y
_atom_site_fract_z
Sm1 Sm 0.0000 0.0000 0.0000
Pu1 Pu 0.0000 0.0000 0.5000
Ir1 Ir 0.2500 0.2500 0.2500
Pd1 Pd 0.2500 0.2500 0.7500
# Fermi-level density of states = 10.82 states/eV/f.u.
# Magnetic moment = 5.44 μB per formula unit

List of relative energies, unit meV per atom: i 7; ii 0

## i
# RbIrPd2, relaxed, DFT PBE-GGA
data_RbIrPd2
_cell_length_a 5.4567
_cell_length_b 5.4567
_cell_length_c 16.4127
_cell_angle_alpha 90.00
_cell_angle_beta 90.00
_cell_angle_gamma 90.00
_space_group_name_H-M_alt 'I 41/a m d'
_space_group_IT_number 141
loop_
_space_group_symop_operation_xyz
'x,y,z'
'-x,-y,-z'
'-y+1/4,x+3/4,z+1/4'
'y+1/4,-x+3/4,-z+1/4'
'-x+1/2,-y,z+1/2'
'x+1/2,y,-z+1/2'
'y+1/4,-x+1/4,z+3/4'
'-y+1/4,x+1/4,-z+3/4'
'x,-y,-z'
'-x,y,z'
'-y+1/4,-x+1/4,-z+3/4'
'y+1/4,x+1/4,z+3/4'
'-x+1/2,y,-z+1/2'
'x+1/2,-y,z+1/2'
'y+1/4,x+3/4,-z+1/4'
'-y+1/4,-x+3/4,z+1/4'
'x+1/2,y+1/2,z+1/2'
'-x+1/2,-y+1/2,-z+1/2'
'-y+3/4,x+1/4,z+3/4'
'y+3/4,-x+1/4,-z+3/4'
'-x,-y+1/2,z'
'x,y+1/2,-z'
'y+3/4,-x+3/4,z+1/4'
'-y+3/4,x+3/4,-z+1/4'
'x+1/2,-y+1/2,-z+1/2'
'-x+1/2,y+1/2,z+1/2'
'-y+3/4,-x+3/4,-z+1/4'
'y+3/4,x+3/4,z+1/4'
'-x,y+1/2,-z'
'x,-y+1/2,z'
'y+3/4,x+1/4,-z+3/4'
'-y+3/4,-x+1/4,z+3/4'
loop_
_atom_site_label
_atom_site_type_symbol
_atom_site_fract_x
_atom_site_fract_y
_atom_site_fract_z
Rb1 Rb 0.0000 0.2500 0.3750
Ir1 Ir 0.0000 0.2500 0.8750
Pd1 Pd 0.0000 0.0000 0.0000
# Fermi-level density of states = 4.91 states/eV/f.u.
# Magnetic moment = 0.00 μB per formula unit

## ii
# RbIrPd2, relaxed, DFT PBE-GGA
data_RbIrPd2
_cell_length_a 6.7644
_cell_length_b 6.7644
_cell_length_c 6.7644
_cell_angle_alpha 90.00
_cell_angle_beta 90.00
_cell_angle_gamma 90.00
_space_group_name_H-M_alt 'F m -3 m'
_space_group_IT_number 225
_space_group_name_Hall '-F 4 2 3'
loop_
_atom_site_label
_atom_site_type_symbol
_atom_site_fract_x
_atom_site_fract_y
_atom_site_fract_z
Rb1 Rb 0.0000 0.0000 0.0000
Ir1 Ir 0.0000 0.0000 0.5000
Pd1 Pd 0.2500 0.2500 0.2500
# Fermi-level density of states = 4.21 states/eV/f.u.
# Magnetic moment = 1.44 μB per formula unit

List of relative energies, unit meV per atom: i 0; ii 278